[1]
This record from Alexandria describes an optimized crystal structure of RbSi2Pb2. The functional is PBE.

Cell lengths 5.1126, 5.1126, 6.7537 Å; angles 67.76, 67.76, 90.00 degrees
Element x y z (fractional)
Si 0.6041 0.6041 0.7918
Pb 0.2500 0.7500 0.5000
Si 0.3959 0.3959 0.2082
Pb 0.7500 0.2500 0.5000
Rb 0.0000 0.0000 0.0000

DOS(E_F) ... 2.2 states/eV/cell
Raw formation energy ... 178 meV/atom
Energy ... -3.67 eV/atom
Calculated volume ... 149 Å³ per cell

---

[2]
This record from Alexandria describes an optimized crystal structure of RbSi2Pb2. The functional is PBE.

Cell lengths 8.7528, 8.7528, 4.0378 Å; angles 90.00, 90.00, 90.00 degrees
Element x y z (fractional)
Si 0.0996 0.4004 0.0000
Rb 0.5000 0.5000 0.0000
Si 0.4004 0.9004 0.0000
Pb 0.3548 0.1452 0.5000
Rb 0.0000 0.0000 0.0000
Pb 0.8548 0.3548 0.5000
Si 0.5996 0.0996 0.0000
Si 0.9004 0.5996 0.0000
Pb 0.1452 0.6452 0.5000
Pb 0.6452 0.8548 0.5000

DOS(E_F) ... 3.2 states/eV/cell
Raw formation energy ... 224 meV/atom
Energy ... -3.62 eV/atom
Calculated volume ... 309 Å³ per cell

---

[3]
This record from Alexandria describes an optimized crystal structure of RbSiPb2. The functional is PBE.

Cell lengths 6.0292, 6.0292, 10.0863 Å; angles 72.61, 72.61, 90.00 degrees
Element x y z (fractional)
Si 0.5000 0.5000 0.0000
Pb 0.2713 0.6250 0.2500
Rb 0.7500 0.2500 0.5000
Si 0.2500 0.7500 0.5000
Pb 0.8750 0.7287 0.7500
Rb 0.0000 0.0000 0.0000
Pb 0.4787 0.1250 0.2500
Pb 0.3750 0.5213 0.7500

DOS(E_F) ... 3.6 states/eV/cell
Raw formation energy ... 298 meV/atom
Energy ... -3.15 eV/atom
Calculated volume ... 332 Å³ per cell

---

[4]
This record from Alexandria describes an optimized crystal structure of RbSiTe4Pb. The functional is PBE.

Cell lengths 7.9098, 6.6989, 10.5832 Å; angles 90.00, 105.75, 90.00 degrees
Element x y z (fractional)
Pb 0.7302 0.7500 0.4419
Te 0.9837 0.0089 0.2677
Pb 0.2698 0.2500 0.5581
Te 0.5677 0.2500 0.8239
Rb 0.2528 0.2500 0.0576
Te 0.9837 0.4911 0.2677
Rb 0.7472 0.7500 0.9424
Si 0.2285 0.7500 0.3216
Te 0.6096 0.2500 0.4385
Te 0.3904 0.7500 0.5615
Te 0.0163 0.5089 0.7323
Si 0.7715 0.2500 0.6784
Te 0.0163 0.9911 0.7323
Te 0.4323 0.7500 0.1761

DOS(E_F) ... 3.1 states/eV/cell
Raw formation energy ... -390 meV/atom
Energy ... -3.63 eV/atom
Calculated volume ... 540 Å³ per cell

---

[5]
This record from Alexandria describes an optimized crystal structure of RbSmPb2. The functional is PBE.

Cell lengths 4.2224, 4.2224, 8.3227 Å; angles 90.00, 90.00, 90.00 degrees
Element x y z (fractional)
Sm 0.5000 0.5000 0.0000
Rb 0.5000 0.5000 0.5000
Pb 0.0000 0.0000 0.1874
Pb 0.0000 0.0000 0.8126

DOS(E_F) ... 3.1 states/eV/cell
Formation energy from the elements ... -0.31 eV/atom
Energy ... -3.59 eV/atom
Calculated volume ... 148 Å³ per cell

---

[6]
This record from Alexandria describes an optimized crystal structure of RbSmPb. The functional is PBE.

Cell lengths 5.4433, 5.4501, 11.7038 Å; angles 103.31, 90.00, 119.96 degrees
Element x y z (fractional)
Pb 0.8922 0.7844 0.1766
Rb 0.3808 0.7616 0.6400
Sm 0.2017 0.4034 0.1054
Pb 0.1078 0.2156 0.8234
Rb 0.6192 0.2384 0.3600
Sm 0.7983 0.5966 0.8946

DOS(E_F) ... 2.7 states/eV/cell
Formation energy from the elements ... -0.11 eV/atom
Energy ... -3.24 eV/atom
Calculated volume ... 290 Å³ per cell

---

[7]
This record from Alexandria describes an optimized crystal structure of RbSmPb4. The functional is PBE.

Cell lengths 6.6021, 6.6021, 6.6021 Å; angles 60.00, 60.00, 60.00 degrees
Element x y z (fractional)
Rb 0.2500 0.2500 0.2500
Pb 0.6264 0.6264 0.1207
Pb 0.6264 0.6264 0.6264
Pb 0.6264 0.1207 0.6264
Sm 0.0000 0.0000 0.0000
Pb 0.1207 0.6264 0.6264

DOS(E_F) ... 0.4 states/eV/cell
Formation energy from the elements ... -0.13 eV/atom
Energy ... -3.55 eV/atom
Calculated volume ... 203 Å³ per cell

---

[8]
This record from Alexandria describes an optimized crystal structure of RbSmPb2. The functional is PBE.

Cell lengths 3.8452, 3.8452, 11.4286 Å; angles 80.32, 80.32, 60.00 degrees
Element x y z (fractional)
Rb 0.5000 0.5000 0.5000
Sm 0.0000 0.0000 0.0000
Pb 0.7426 0.7426 0.7723
Pb 0.2574 0.2574 0.2277

DOS(E_F) ... 2.8 states/eV/cell
Formation energy from the elements ... -0.15 eV/atom
Energy ... -3.43 eV/atom
Calculated volume ... 144 Å³ per cell

---

[9]
This record from Alexandria describes an optimized crystal structure of RbSm2Te6Pb3. The functional is PBE.

Cell lengths 4.5470, 9.5914, 10.3507 Å; angles 102.80, 102.69, 90.00 degrees
Element x y z (fractional)
Pb 0.1569 0.8490 0.3138
Te 0.6815 0.1161 0.3630
Pb 0.5000 0.5000 0.0000
Sm 0.1693 0.3498 0.3387
Rb 0.5000 0.0000 0.0000
Te 0.6691 0.5869 0.3381
Te 0.9884 0.7256 0.9768
Te 0.0116 0.2744 0.0232
Pb 0.8431 0.1510 0.6862
Te 0.3309 0.4131 0.6619
Te 0.3185 0.8839 0.6370
Sm 0.8307 0.6502 0.6613

DOS(E_F) ... 4.5 states/eV/cell
Raw formation energy ... -814 meV/atom
Energy ... -4.18 eV/atom
Calculated volume ... 429 Å³ per cell

---

[10]
This record from Alexandria describes an optimized crystal structure of RbSm2Te4Pb. The functional is PBE.

Cell lengths 4.5908, 8.2386, 16.7334 Å; angles 90.00, 90.00, 106.18 degrees
Element x y z (fractional)
Rb 0.8599 0.7198 0.2500
Sm 0.3771 0.7541 0.9378
Te 0.0000 0.0000 0.0000
Te 0.7349 0.4699 0.5945
Sm 0.6229 0.2459 0.0622
Pb 0.1511 0.3022 0.2500
Te 0.2651 0.5301 0.0945
Rb 0.1401 0.2802 0.7500
Te 0.2651 0.5301 0.4055
Te 0.5306 0.0611 0.2500
Pb 0.8489 0.6978 0.7500
Te 0.7349 0.4699 0.9055
Te 0.4694 0.9389 0.7500
Sm 0.3771 0.7541 0.5622
Te 0.0000 0.0000 0.5000
Sm 0.6229 0.2459 0.4378

DOS(E_F) ... 7.9 states/eV/cell
Raw formation energy ... -983 meV/atom
Energy ... -4.32 eV/atom
Calculated volume ... 608 Å³ per cell

---

[11]
This record from Alexandria describes an optimized crystal structure of RbSnPb3. The functional is PBE.

Cell lengths 5.9909, 5.9909, 5.9909 Å; angles 90.00, 90.00, 90.00 degrees
Element x y z (fractional)
Pb 0.0000 0.0000 0.5000
Sn 0.0000 0.0000 0.0000
Pb 0.5000 0.0000 0.0000
Pb 0.0000 0.5000 0.0000
Rb 0.5000 0.5000 0.5000

DOS(E_F) ... 5.4 states/eV/cell
Formation energy from the elements ... 0.24 eV/atom
Energy ... -2.97 eV/atom
Calculated volume ... 215 Å³ per cell

---

[12]
This record from Alexandria describes an optimized crystal structure of RbSnPb2. The functional is PBE.

Cell lengths 5.3177, 5.3177, 7.4045 Å; angles 68.96, 68.96, 60.00 degrees
Element x y z (fractional)
Pb 0.0343 0.0343 0.8970
Pb 0.2856 0.2856 0.1432
Sn 0.6877 0.6877 0.9370
Rb 0.4924 0.4924 0.5228

DOS(E_F) ... 2.8 states/eV/cell
Formation energy from the elements ... -0.03 eV/atom
Energy ... -3.12 eV/atom
Calculated volume ... 165 Å³ per cell